An optimized crystal structure of Cs3Ca2I2Br5, computed with PBE.

- Density of states at the Fermi level: 0.00 states/eV per atom
- ΔE_f (raw): -22.4 eV/f.u.
- Electronic total energy: -80.78 eV per cell

Cell: 5.773 5.773 30.868 Å, 90.00 90.00 90.00°
Space group I4/mmm (No. 139)
Inequivalent atoms, fractional coordinates:
Cs (0.000, 0.000, 0.000) x2
Cs (0.000, 0.000, 0.178) x4
Ca (0.000, 0.000, 0.406) x4
I (0.000, 0.000, 0.304) x4
Br (0.000, 0.000, 0.500) x2
Br (0.000, 0.500, 0.092) x8